VASP calculation (PBE) on a relaxed Cs6HgS crystal.

As for the formation energy from raw total energies: -38.93 kJ/mol of atoms. As for the space group: C2/m (12).

a b c (Å): 9.0920 9.0920 9.0651
angles (deg): 98.49 98.49 116.38
Element x y z (fractional)
Cs: 0.0345 0.3409 0.2428
Cs: 0.2525 0.2525 0.8050
Cs: 0.3409 0.0345 0.2428
Cs: 0.6591 0.9655 0.7572
Cs: 0.7475 0.7475 0.1950
Cs: 0.9655 0.6591 0.7572
Hg: 0.5000 0.5000 0.5000
S: 0.0000 0.0000 0.0000